1.
A plane-wave DFT calculation with GGA-PBEsol was carried out for a geometry-optimized Tl2InHg2 structure.

Cell and atoms, written as POSCAR:
```
Tl2InHg2
1.0
-1.8423 2.7896 -1.6171
-6.3105 -0.8798 5.6716
3.8772 5.5617 5.1767
Hg In Tl
4 2 4
Cartesian
-2.4818 1.9631 1.9498
0.6366 4.9085 3.4778
-1.7938 5.5083 7.2815
-4.9122 2.5630 5.7534
-1.2167 2.3410 5.4242
0.0000 0.0000 0.0000
-2.9101 2.8254 8.1890
1.0711 4.4500 6.4559
0.4768 1.8566 2.6594
-3.5044 0.2319 4.3924
```

Results
SG = P4/mbm, No. 127
total energy = -1.818 eV/atom



2.
A plane-wave DFT calculation with GGA-PBEsol was carried out for a geometry-optimized Tl2InHg structure.

Cell and atoms, written as POSCAR:
```
Tl2InHg
1.0
-3.5108 -3.2850 2.2202
1.6777 -4.2097 2.7404
-0.5498 -0.1223 5.2659
Tl In Hg
2 1 1
Cartesian
-0.5957 -1.9043 2.5566
-1.7872 -5.7128 7.6698
-1.1914 -3.8085 5.1132
0.0000 0.0000 0.0000
```

Results
SG = Fm-3m, No. 225
total energy = -2.186 eV/atom



3.
A plane-wave DFT calculation with GGA-PBEsol was carried out for a geometry-optimized TlIn2Hg2 structure.

Cell and atoms, written as POSCAR:
```
TlIn2Hg2
1.0
-2.4922 2.2949 -0.6414
-5.6975 -5.0629 4.0232
1.7359 3.9677 7.4514
Hg In Tl
4 4 2
Cartesian
-0.5129 1.6022 7.7253
-0.2578 0.6163 3.2065
-3.7038 -1.7114 8.2681
-3.4487 -2.6973 3.7493
-5.4951 -1.7711 5.7469
-3.4481 1.2605 8.6400
-0.9586 2.9709 5.0864
-3.0056 -0.0608 2.1932
0.0000 0.0000 0.0000
-1.9808 -0.5476 5.7373
```

Results
SG = P4/mbm, No. 127
total energy = -1.958 eV/atom



4.
A plane-wave DFT calculation with GGA-PBEsol was carried out for a geometry-optimized TlInHg2 structure.

Cell and atoms, written as POSCAR:
```
TlInHg2
1.0
3.3704 0.0000 -0.4613
0.0000 4.4989 0.0000
-2.1449 0.0000 6.8784
Hg Tl In
2 1 1
Cartesian
0.9067 0.0000 4.8612
0.3188 0.0000 1.5559
-1.0724 2.2495 3.4392
1.6852 2.2495 -0.2306
```

Results
SG = P2/m, No. 10
total energy = -1.694 eV/atom



Spin magnetization across the listed records, respectively: 0.00 0.00 0.00 0.00 μB per cell.
Formation energy from the elements across the listed records, respectively: 0.06 0.02 -0.01 -0.01 eV per atom.